Record 1
PmPr4Sn2 after structural relaxation. Source: Alexandria, functional PBE-GGA.

Unit cell a=10.9289 b=10.9289 c=10.9289 alpha=28.15 beta=28.15 gamma=28.15
Atoms (fractional coordinates):
Pm 0.0000 0.0000 0.0000
Pr 0.2054 0.2054 0.2054
Pr 0.3888 0.3888 0.3888
Pr 0.6112 0.6112 0.6112
Pr 0.7946 0.7946 0.7946
Sn 0.1005 0.1005 0.1005
Sn 0.8995 0.8995 0.8995

Summary:
Formation energy from the elements: -255 meV/atom
Spin magnetization: 1.47 μB per formula unit
Theoretical density: 6.1 Mg/m³


Record 2
Pm3PrSn3 after structural relaxation. Source: Alexandria, functional PBE-GGA.

Unit cell a=8.0809 b=8.0809 c=7.9466 alpha=92.11 beta=92.11 gamma=113.14
Atoms (fractional coordinates):
Pm 0.1507 0.8493 0.0000
Pm 0.2178 0.7822 0.5000
Pm 0.3606 0.3606 0.8757
Pm 0.6394 0.6394 0.1243
Pm 0.7822 0.2178 0.5000
Pm 0.8493 0.1507 0.0000
Pr 0.2973 0.2973 0.4156
Pr 0.7027 0.7027 0.5844
Sn 0.0474 0.0474 0.6957
Sn 0.1725 0.5191 0.1782
Sn 0.4809 0.8275 0.8218
Sn 0.5191 0.1725 0.1782
Sn 0.8275 0.4809 0.8218
Sn 0.9526 0.9526 0.3043

Summary:
Formation energy from the elements: -422 meV/atom
Spin magnetization: 0.23 μB per formula unit
Theoretical density: 6.5 Mg/m³


Record 3
PmPr6Sn2 after structural relaxation. Source: Alexandria, functional PBE-GGA.

Unit cell a=7.9257 b=7.9257 c=5.5020 alpha=90.09 beta=90.09 gamma=59.82
Atoms (fractional coordinates):
Pm 0.0000 0.0000 0.0000
Pr 0.1945 0.6107 0.2657
Pr 0.1951 0.1951 0.2644
Pr 0.3893 0.8055 0.7343
Pr 0.6107 0.1945 0.2657
Pr 0.8049 0.8049 0.7356
Pr 0.8055 0.3893 0.7343
Sn 0.3335 0.3335 0.7692
Sn 0.6665 0.6665 0.2308

Summary:
Formation energy from the elements: -38 meV/atom
Spin magnetization: 0.00 μB per formula unit
Theoretical density: 6.8 Mg/m³


Record 4
PmPr5Sn3 after structural relaxation. Source: Alexandria, functional PBE-GGA.

Unit cell a=9.7135 b=9.7135 c=6.8178 alpha=90.00 beta=90.00 gamma=120.00
Atoms (fractional coordinates):
Pm 0.0000 0.0000 0.0000
Pm 0.0000 0.0000 0.5000
Pr 0.0000 0.3329 0.2500
Pr 0.0000 0.6671 0.7500
Pr 0.3329 0.0000 0.2500
Pr 0.3329 0.3329 0.7500
Pr 0.3333 0.6667 0.0000
Pr 0.3333 0.6667 0.5000
Pr 0.6671 0.0000 0.7500
Pr 0.6667 0.3333 0.0000
Pr 0.6667 0.3333 0.5000
Pr 0.6671 0.6671 0.2500
Sn 0.0000 0.3325 0.7500
Sn 0.0000 0.6675 0.2500
Sn 0.3325 0.0000 0.7500
Sn 0.3325 0.3325 0.2500
Sn 0.6675 0.0000 0.2500
Sn 0.6675 0.6675 0.7500

Summary:
Energy above the lowest structure with this stoichiometry: 0.00 eV/f.u.
Formation energy from the elements: -572 meV/atom
Spin magnetization: 2.75 μB per formula unit
Theoretical density: 7.2 Mg/m³


Number 1: VASP energy -33.66 eV per cell. Number 2: VASP energy -67.99 eV per cell. Number 3: VASP energy -41.77 eV per cell. Number 4: VASP energy -91.62 eV per cell.